No. 1
VASP calculation (PBE) on a relaxed ThSn2As2Rh7 crystal.

- space-group type = C2/m
- total moment (μB per cell) = 0.0

a = 3.967 Å, b = 3.967 Å, c = 14.805 Å
α = 80.05°, β = 80.05°, γ = 89.80°
Fractional coordinates of all 12 atoms:
Rh1 0.601 0.100 0.846
Rh2 0.500 0.500 0.000
Rh3 0.100 0.601 0.846
Rh4 0.399 0.900 0.154
Rh5 0.900 0.399 0.154
Rh6 0.790 0.790 0.578
Rh7 0.210 0.210 0.422
As1 0.337 0.337 0.252
As2 0.663 0.663 0.748
Sn1 0.717 0.717 0.401
Sn2 0.283 0.283 0.599
Th1 0.000 0.000 0.000

No. 2
VASP calculation (PBE) on a relaxed ThSnAs2Rh5 crystal.

- space-group type = P4/mmm
- total moment (μB per cell) = 0.0

a = 4.175 Å, b = 4.175 Å, c = 8.853 Å
α = 90.00°, β = 90.00°, γ = 90.00°
Fractional coordinates of all 9 atoms:
Th1 0.000 0.000 0.000
Rh1 0.500 0.000 0.280
Rh2 0.000 0.500 0.280
Rh3 0.000 0.500 0.720
Rh4 0.500 0.500 0.500
Rh5 0.500 0.000 0.720
Sn1 0.000 0.000 0.500
As1 0.500 0.500 0.144
As2 0.500 0.500 0.856

No. 3
VASP calculation (PBE) on a relaxed Th3SnAs2Rh9 crystal.

- space-group type = P-3m1
- total moment (μB per cell) = 0.0

a = 5.765 Å, b = 5.765 Å, c = 11.012 Å
α = 90.00°, β = 90.00°, γ = 120.00°
Fractional coordinates of all 15 atoms:
Th1 0.333 0.667 0.736
Th2 0.667 0.333 0.264
Th3 0.000 0.000 0.000
As1 0.667 0.333 0.840
As2 0.333 0.667 0.160
Rh1 0.314 0.157 0.697
Rh2 0.843 0.686 0.697
Rh3 0.843 0.157 0.697
Rh4 0.686 0.843 0.303
Rh5 0.157 0.314 0.303
Rh6 0.500 0.000 0.000
Rh7 0.157 0.843 0.303
Rh8 0.000 0.500 0.000
Rh9 0.500 0.500 0.000
Sn1 0.000 0.000 0.500

Number 1: DFT formation energy -0.4038 eV per atom. Number 2: DFT formation energy -0.6745 eV per atom. Number 3: DFT formation energy -0.5787 eV per atom.